DFT (PBE) results for an optimized crystal structure of PrSm2Er3Tm6.

Properties
The symmetry is No. 12. The density of states at the Fermi level comes out at 16.40 states/eV/cell. For the electronic total energy, the calculation gives -4.5364 eV/atom.

Cell lengths 6.1261, 6.1261, 11.6665 Å; angles 95.02, 95.02, 119.94 degrees
Sites, in units of the cell vectors:
Tm1 0.2481 0.2481 0.7461
Tm2 0.5806 0.9143 0.7461
Tm3 0.9143 0.5806 0.7461
Tm4 0.7519 0.7519 0.2539
Tm5 0.0857 0.4194 0.2539
Tm6 0.4194 0.0857 0.2539
Sm1 0.3334 0.6666 0.0000
Sm2 0.6666 0.3334 0.0000
Er1 0.8332 0.1668 0.5000
Er2 0.5000 0.5000 0.5000
Er3 0.1668 0.8332 0.5000
Pr1 0.0000 0.0000 0.0000

---

DFT (PBE) results for an optimized crystal structure of Bi3HN.

Properties
The symmetry is No. 221. The density of states at the Fermi level comes out at 2.63 states/eV/cell. For the excess energy over the best structure of this formula in the dataset, the calculation gives 0 meV per atom.

Cell lengths 4.9334, 4.9334, 4.9334 Å; angles 90.00, 90.00, 90.00 degrees
Last column: magnetic moment on the atom in μB.
Sites, in units of the cell vectors:
Bi1 0.0000 0.5000 0.0000  0.04
Bi2 0.0000 0.0000 0.5000  -0.01
Bi3 0.5000 0.0000 0.0000  0.09
H1 0.5000 0.5000 0.5000  0.17
N1 0.0000 0.0000 0.0000  -0.01

---

DFT (PBE) results for an optimized crystal structure of Ca2ZnCd3Ag12.

Properties
The symmetry is No. 166. The density of states at the Fermi level comes out at 6.57 states/eV/cell. For the electronic total energy, the calculation gives -2.3786 eV/atom.

Cell lengths 7.2752, 7.2752, 7.2752 Å; angles 82.39, 82.39, 82.39 degrees
Sites, in units of the cell vectors:
Ag1 0.7238 0.1967 0.1967
Ag2 0.5850 0.1307 0.5850
Ag3 0.8693 0.4150 0.4150
Ag4 0.4150 0.8693 0.4150
Ag5 0.1967 0.7238 0.1967
Ag6 0.1307 0.5850 0.5850
Ag7 0.5850 0.5850 0.1307
Ag8 0.8033 0.2762 0.8033
Ag9 0.1967 0.1967 0.7238
Ag10 0.4150 0.4150 0.8693
Ag11 0.2762 0.8033 0.8033
Ag12 0.8033 0.8033 0.2762
Zn1 0.0000 0.0000 0.0000
Cd1 0.0000 0.0000 0.5000
Cd2 0.0000 0.5000 0.0000
Cd3 0.5000 0.0000 0.0000
Ca1 0.2990 0.2990 0.2990
Ca2 0.7010 0.7010 0.7010

---

DFT (PBE) results for an optimized crystal structure of K2LaSi.

Properties
The symmetry is No. 47. The density of states at the Fermi level comes out at 4.26 states/eV/cell. The formation energy (no corrections) is 470 meV per atom.

Cell lengths 3.8676, 5.8906, 6.4658 Å; angles 90.00, 90.00, 90.00 degrees
Last column: magnetic moment on the atom in μB.
Sites, in units of the cell vectors:
K1 0.0000 0.0000 0.5262  0.02
K2 0.0000 0.0000 0.9738  0.02
La1 0.5000 0.5000 0.2500  0.31
Si1 0.5000 0.5000 0.7500  0.01